## KCa2MgPd (PBE)

Data for an optimized crystal structure of KCa2MgPd.

Structure (CIF):
```
data_KCa2MgPd
_space_group_name_H-M_alt 'P 4/m m m'
_space_group_IT_number 123
_space_group_name_Hall '-P 4 2'
_cell_length_a 5.704
_cell_length_b 5.704
_cell_length_c 5.373
_cell_angle_alpha 90.00
_cell_angle_beta 90.00
_cell_angle_gamma 90.00
loop_
_atom_site_label
_atom_site_fract_x
_atom_site_fract_y
_atom_site_fract_z
K1 0.000 0.000 0.000
Ca1 0.000 0.500 0.500
Mg1 0.500 0.500 0.000
Pd1 0.500 0.500 0.500
```

Values from the calculation:
**Total moment**: 0.0000 μB per atom
**ΔE_f**: -237.6 meV/atom

---

## KCaMg2Pd (PBE)

Data for an optimized crystal structure of KCaMg2Pd.

Structure (CIF):
```
data_KCaMg2Pd
_space_group_name_H-M_alt 'P 4/m m m'
_space_group_IT_number 123
_space_group_name_Hall '-P 4 2'
_cell_length_a 5.320
_cell_length_b 5.320
_cell_length_c 5.515
_cell_angle_alpha 90.00
_cell_angle_beta 90.00
_cell_angle_gamma 90.00
loop_
_atom_site_label
_atom_site_fract_x
_atom_site_fract_y
_atom_site_fract_z
K1 0.000 0.000 0.000
Ca1 0.500 0.500 0.000
Mg1 0.000 0.500 0.500
Pd1 0.500 0.500 0.500
```

Values from the calculation:
**Total moment**: 0.0000 μB per atom
**ΔE_f**: -214.1 meV/atom

---

## KCa2MgPt (PBE)

Data for an optimized crystal structure of KCa2MgPt.

Structure (CIF):
```
data_KCa2MgPt
_space_group_name_H-M_alt 'P 4/m m m'
_space_group_IT_number 123
_space_group_name_Hall '-P 4 2'
_cell_length_a 5.689
_cell_length_b 5.689
_cell_length_c 5.313
_cell_angle_alpha 90.00
_cell_angle_beta 90.00
_cell_angle_gamma 90.00
loop_
_atom_site_label
_atom_site_fract_x
_atom_site_fract_y
_atom_site_fract_z
K1 0.000 0.000 0.000
Ca1 0.000 0.500 0.500
Mg1 0.500 0.500 0.000
Pt1 0.500 0.500 0.500
```

Values from the calculation:
**Total moment**: 0.0000 μB per atom
**ΔE_f**: -382.4 meV/atom

---

## KCaMg2Re (PBE)

Data for an optimized crystal structure of KCaMg2Re.

Structure (CIF):
```
data_KCaMg2Re
_space_group_name_H-M_alt 'P 4/m m m'
_space_group_IT_number 123
_space_group_name_Hall '-P 4 2'
_cell_length_a 5.960
_cell_length_b 5.960
_cell_length_c 5.350
_cell_angle_alpha 90.00
_cell_angle_beta 90.00
_cell_angle_gamma 90.00
loop_
_atom_site_label
_atom_site_fract_x
_atom_site_fract_y
_atom_site_fract_z
K1 0.000 0.000 0.000
Ca1 0.500 0.500 0.500
Mg1 0.000 0.500 0.500
Re1 0.500 0.500 0.000
```

Values from the calculation:
**Total moment**: 0.5085 μB per atom
**ΔE_f**: 1413.3 meV/atom

---

## KCaMg2Rh (PBE)

Data for an optimized crystal structure of KCaMg2Rh.

Structure (CIF):
```
data_KCaMg2Rh
_space_group_name_H-M_alt 'P 4/m m m'
_space_group_IT_number 123
_space_group_name_Hall '-P 4 2'
_cell_length_a 5.251
_cell_length_b 5.251
_cell_length_c 5.407
_cell_angle_alpha 90.00
_cell_angle_beta 90.00
_cell_angle_gamma 90.00
loop_
_atom_site_label
_atom_site_fract_x
_atom_site_fract_y
_atom_site_fract_z
K1 0.000 0.000 0.000
Ca1 0.500 0.500 0.000
Mg1 0.000 0.500 0.500
Rh1 0.500 0.500 0.500
```

Values from the calculation:
**Total moment**: 0.0000 μB per atom
**ΔE_f**: -151.5 meV/atom

---

## KCaMg2Si (PBE)

Data for an optimized crystal structure of KCaMg2Si.

Structure (CIF):
```
data_KCaMg2Si
_space_group_name_H-M_alt 'P 4/m m m'
_space_group_IT_number 123
_space_group_name_Hall '-P 4 2'
_cell_length_a 5.590
_cell_length_b 5.590
_cell_length_c 6.134
_cell_angle_alpha 90.00
_cell_angle_beta 90.00
_cell_angle_gamma 90.00
loop_
_atom_site_label
_atom_site_fract_x
_atom_site_fract_y
_atom_site_fract_z
K1 0.000 0.000 0.000
Ca1 0.000 0.000 0.500
Mg1 0.000 0.500 0.000
Si1 0.500 0.500 0.500
```

Values from the calculation:
**VASP energy**: -5.109 eV/cell
**Total moment**: 0.0000 μB per atom

---

## KSrCaMg (PBE)

Data for an optimized crystal structure of KSrCaMg.

Structure (CIF):
```
data_KSrCaMg
_space_group_name_H-M_alt 'F -4 3 m'
_space_group_IT_number 216
_space_group_name_Hall 'F -4 2 3'
_cell_length_a 8.782
_cell_length_b 8.782
_cell_length_c 8.782
_cell_angle_alpha 90.00
_cell_angle_beta 90.00
_cell_angle_gamma 90.00
loop_
_atom_site_label
_atom_site_fract_x
_atom_site_fract_y
_atom_site_fract_z
K1 0.000 0.000 0.000
Sr1 0.250 0.250 0.250
Ca1 0.250 0.250 0.750
Mg1 0.000 0.000 0.500
```

Values from the calculation:
**Total moment**: 0.1433 μB per atom
**ΔE_f**: 142.8 meV/atom

---

## KCa2MgTi (PBE)

Data for an optimized crystal structure of KCa2MgTi.

Structure (CIF):
```
data_KCa2MgTi
_space_group_name_H-M_alt 'P 4/m m m'
_space_group_IT_number 123
_space_group_name_Hall '-P 4 2'
_cell_length_a 5.740
_cell_length_b 5.740
_cell_length_c 4.982
_cell_angle_alpha 90.00
_cell_angle_beta 90.00
_cell_angle_gamma 90.00
loop_
_atom_site_label
_atom_site_fract_x
_atom_site_fract_y
_atom_site_fract_z
K1 0.000 0.000 0.000
Ca1 0.000 0.500 0.000
Mg1 0.500 0.500 0.500
Ti1 0.000 0.000 0.500
```

Values from the calculation:
**Total moment**: 0.0001 μB per atom
**ΔE_f**: 1323.8 meV/atom

---

## KCaMgTl (PBE)

Data for an optimized crystal structure of KCaMgTl.

Structure (CIF):
```
data_KCaMgTl
_space_group_name_H-M_alt 'F -4 3 m'
_space_group_IT_number 216
_space_group_name_Hall 'F -4 2 3'
_cell_length_a 7.802
_cell_length_b 7.802
_cell_length_c 7.802
_cell_angle_alpha 90.00
_cell_angle_beta 90.00
_cell_angle_gamma 90.00
loop_
_atom_site_label
_atom_site_fract_x
_atom_site_fract_y
_atom_site_fract_z
K1 0.000 0.000 0.000
Ca1 0.250 0.250 0.250
Mg1 0.250 0.250 0.750
Tl1 0.000 0.000 0.500
```

Values from the calculation:
**Total moment**: 0.0000 μB per atom
**ΔE_f**: -28.5 meV/atom

---

## K2CaMg2Tl5 (PBE)

Data for an optimized crystal structure of K2CaMg2Tl5.

Structure (CIF):
```
data_K2CaMg2Tl5
_space_group_name_H-M_alt 'P 4/m b m'
_space_group_IT_number 127
_space_group_name_Hall '-P 4 2ab'
_cell_length_a 12.581
_cell_length_b 12.581
_cell_length_c 3.967
_cell_angle_alpha 90.00
_cell_angle_beta 90.00
_cell_angle_gamma 90.00
loop_
_atom_site_label
_atom_site_fract_x
_atom_site_fract_y
_atom_site_fract_z
K1 0.176 0.324 0.000
Ca1 0.000 0.000 0.000
Mg1 0.126 0.626 0.000
Tl1 0.000 0.500 0.500
Tl2 0.060 0.798 0.500
```

Values from the calculation:
**Total moment**: 0.0000 μB per atom
**ΔE_f**: -129.1 meV/atom

---

## KCaMg2V (PBE)

Data for an optimized crystal structure of KCaMg2V.

Structure (CIF):
```
data_KCaMg2V
_space_group_name_H-M_alt 'P 4/m m m'
_space_group_IT_number 123
_space_group_name_Hall '-P 4 2'
_cell_length_a 5.735
_cell_length_b 5.735
_cell_length_c 5.478
_cell_angle_alpha 90.00
_cell_angle_beta 90.00
_cell_angle_gamma 90.00
loop_
_atom_site_label
_atom_site_fract_x
_atom_site_fract_y
_atom_site_fract_z
K1 0.000 0.000 0.000
Ca1 0.500 0.500 0.500
Mg1 0.000 0.500 0.000
V1 0.000 0.000 0.500
```

Values from the calculation:
**Total moment**: 0.8735 μB per atom
**ΔE_f**: 1250.2 meV/atom

---

## KCaYMg2 (PBE)

Data for an optimized crystal structure of KCaYMg2.

Structure (CIF):
```
data_KCaYMg2
_space_group_name_H-M_alt 'P 4/m m m'
_space_group_IT_number 123
_space_group_name_Hall '-P 4 2'
_cell_length_a 5.936
_cell_length_b 5.936
_cell_length_c 6.260
_cell_angle_alpha 90.00
_cell_angle_beta 90.00
_cell_angle_gamma 90.00
loop_
_atom_site_label
_atom_site_fract_x
_atom_site_fract_y
_atom_site_fract_z
K1 0.000 0.000 0.000
Ca1 0.500 0.500 0.000
Y1 0.000 0.000 0.500
Mg1 0.000 0.500 0.500
```

Values from the calculation:
**Total moment**: 0.0000 μB per atom
**ΔE_f**: 787.2 meV/atom